Entry 1:
{"formula": "Co2RuRh6", "functional": "GGA-PBE", "state": "optimized geometry", "total_magnetization_mub_per_cell": 5.8, "formation_enthalpy_0k_ev_per_atom": 0.549, "lattice": [[-3.5851, -3.7704, 0.2595], [-1.8543, -2.1365, -4.3741], [2.5667, -6.1217, -1.1999]], "species": ["Rh", "Rh", "Rh", "Rh", "Ru", "Rh", "Co", "Rh", "Co"], "frac_coords": [[0.7842, 0.2700, 0.6759], [0.2699, 0.7842, 0.6759], [0.5735, 0.0557, 0.3150], [0.0557, 0.0559, 0.3150], [0.3371, 0.3371, 0.9888], [0.2700, 0.2699, 0.6759], [0.7234, 0.7234, 0.8297], [0.0559, 0.5735, 0.3150], [0.5961, 0.5961, 0.2118]]}

---

Entry 2:
{"formula": "CoRu2Rh", "functional": "GGA-PBE", "state": "optimized geometry", "de_polymorph_mev_per_atom": 0.0, "total_magnetization_mub_per_cell": 1.7, "formation_enthalpy_0k_ev_per_atom": 0.105, "lattice": [[2.6879, 0.0101, 0.0000], [-0.0101, 2.6879, 0.0000], [0.0000, 0.0000, 7.3605]], "species": ["Co", "Ru", "Ru", "Rh"], "frac_coords": [[0.0000, 0.0000, 0.4976], [0.0000, 0.0000, 0.0034], [0.5000, 0.5000, 0.2589], [0.5000, 0.5000, 0.7400]]}

---

Entry 3:
{"formula": "Co2RuRh", "functional": "GGA-PBE", "state": "optimized geometry", "de_polymorph_mev_per_atom": 1037.9, "total_magnetization_mub_per_cell": 0.0, "formation_enthalpy_0k_ev_per_atom": 1.147, "lattice": [[-2.6920, 4.3395, -0.9341], [-4.4196, -2.5183, 1.0375], [-3.1435, 2.2380, 5.0300]], "species": ["Rh", "Ru", "Ru", "Co", "Rh", "Co", "Co", "Co"], "frac_coords": [[0.7500, 0.2500, 0.5000], [0.5000, 0.5000, 0.0000], [0.2500, 0.7500, 0.5000], [0.8750, 0.8689, 0.7500], [0.0000, 0.0000, 0.0000], [0.6189, 0.1250, 0.2500], [0.3750, 0.3811, 0.7500], [0.1311, 0.6250, 0.2500]]}

---

Entry 4:
{"formula": "Co2RuRh", "functional": "GGA-PBE", "state": "optimized geometry", "de_polymorph_mev_per_atom": 202.0, "total_magnetization_mub_per_cell": 4.9, "formation_enthalpy_0k_ev_per_atom": 0.311, "lattice": [[2.6113, -0.0031, 0.0000], [-1.1866, 2.3261, 0.0000], [0.0000, 0.0000, 8.6366]], "species": ["Co", "Co", "Ru", "Rh"], "frac_coords": [[0.0000, 0.0000, 0.9990], [0.0000, 0.0000, 0.5010], [0.5000, 0.5000, 0.7500], [0.5000, 0.5000, 0.2500]]}